The following is a DFT calculation (GGA-PBE) of a relaxed Zn2Te4I crystal.

Cell lengths 8.808, 8.808, 8.808 Å; angles 142.00, 142.00, 54.84 degrees
Element x y z (fractional)
Zn (0.082, 0.082, 0.000)
Zn (0.918, 0.918, 0.000)
Te (0.000, 0.500, 0.500)
Te (0.244, 0.244, 0.000)
Te (0.500, 0.000, 0.500)
Te (0.756, 0.756, 0.000)
I (0.500, 0.500, 0.000)

Summary:
ΔE_f (raw), kJ/mol of formula units: 194.4
Fermi-level density of states, states/eV per cell: 4.9
SG: I4/mmm, No. 139
Size of the total moment, μB/f.u.: 0.00

=====

The following is a DFT calculation (GGA-PBE) of a relaxed Dy6Ho8Tm crystal.

Cell lengths 9.763, 9.763, 5.742 Å; angles 90.00, 90.00, 120.00 degrees
Element x y z (fractional)
Dy (0.051, 0.776, 0.275)
Dy (0.224, 0.275, 0.275)
Dy (0.275, 0.051, 0.725)
Dy (0.725, 0.949, 0.275)
Dy (0.776, 0.725, 0.725)
Dy (0.949, 0.224, 0.725)
Ho (0.092, 0.622, 0.763)
Ho (0.333, 0.667, 0.271)
Ho (0.378, 0.469, 0.763)
Ho (0.469, 0.092, 0.237)
Ho (0.531, 0.908, 0.763)
Ho (0.622, 0.531, 0.237)
Ho (0.667, 0.333, 0.729)
Ho (0.908, 0.378, 0.237)
Tm (0.000, 0.000, 0.000)

Summary:
Calculated total energy, eV/atom: -4.403
Fermi-level density of states, states/eV per cell: 24.7
SG: P-3, No. 147
Size of the total moment, μB/f.u.: 0.00

=====

The following is a DFT calculation (GGA-PBE) of a relaxed TbScAlCo crystal.

Cell lengths 4.812, 4.812, 4.812 Å; angles 60.00, 60.00, 60.00 degrees
Element x y z (fractional)
Tb (0.000, 0.000, 0.000)
Sc (0.500, 0.500, 0.500)
Al (0.250, 0.250, 0.250)
Co (0.750, 0.750, 0.750)

Summary:
Calculated total energy, eV/atom: -5.688
Fermi-level density of states, states/eV per cell: 3.2
SG: F-43m, No. 216
Size of the total moment, μB/f.u.: 0.81